No. 1
PBE-GGA Ta2OsW, optimized geometry; energy relative to the elements = -0.08 eV/atom; E above lowest polymorph = 0.894 eV/f.u.; SG = Cmmm (65)
1.0
1.606 -2.307 0.000
1.606 2.307 0.000
0.000 0.000 8.958
Ta Os W
2 1 1
Direct
0.000 0.000 0.245
0.000 0.000 0.755
0.500 0.500 0.000
0.500 0.500 0.500

No. 2
PBE-GGA Pm2Sm2Pb5, optimized geometry; energy relative to the elements = -0.42 eV/atom; SG = Cmce (64)
1.0
8.362 -4.154 0.000
8.362 4.154 0.000
0.000 0.000 8.326
Pm Sm Pb
4 4 10
Direct
0.190 0.190 0.000
0.310 0.310 0.500
0.690 0.690 0.500
0.810 0.810 0.000
0.164 0.836 0.665
0.336 0.664 0.165
0.664 0.336 0.835
0.836 0.164 0.335
0.000 0.000 0.000
0.003 0.271 0.633
0.229 0.497 0.867
0.271 0.003 0.367
0.497 0.229 0.133
0.500 0.500 0.500
0.503 0.771 0.867
0.729 0.997 0.633
0.771 0.503 0.133
0.997 0.729 0.367

No. 3
PBE-GGA NaMgTlRe2, optimized geometry; energy relative to the elements = 2.17 eV/atom; SG = P4/mmm (123)
1.0
5.208 0.000 0.000
0.000 5.208 0.000
0.000 0.000 5.170
Na Mg Tl Re
1 1 1 2
Direct
0.000 0.000 0.000
0.500 0.500 0.000
0.500 0.500 0.500
0.000 0.500 0.500
0.500 0.000 0.500

No. 4
PBE-GGA CeVAs2, optimized geometry; energy relative to the elements = 0.04 eV/atom; E above lowest polymorph = 2.533 eV/f.u.; SG = R-3m (166)
1.0
2.172 1.254 7.731
-2.172 1.254 7.731
0.000 -2.508 7.731
Ce V As
1 1 2
Direct
0.000 0.000 0.000
0.500 0.500 0.500
0.396 0.396 0.396
0.604 0.604 0.604

No. 5
PBE-GGA BeInAg2Te4, optimized geometry; formation energy without anion corrections = -0.202 eV/atom; SG = I-4 (82)
1.0
-3.170 3.170 6.103
3.170 -3.170 6.103
3.170 3.170 -6.103
Be In Ag Te
1 1 2 4
Direct
0.000 0.000 0.000
0.750 0.250 0.500
0.250 0.750 0.500
0.500 0.500 0.000
0.120 0.110 0.455
0.335 0.880 0.990
0.656 0.665 0.545
0.890 0.344 0.010

No. 6
PBE-GGA CeSmMgSn, optimized geometry; energy relative to the elements = -0.35 eV/atom; SG = F-43m (216)
1.0
0.000 3.826 3.826
3.826 0.000 3.826
3.826 3.826 0.000
Ce Sm Mg Sn
1 1 1 1
Direct
0.000 0.000 0.000
0.500 0.500 0.500
0.250 0.250 0.250
0.750 0.750 0.750